Record 1
Tb4CoPd3 (GGA-PBE, optimized geometry); formation energy from the elements = -67.55 kJ per mole of atoms; space-group type = No. 25; N(E_F) = 0.730 states/eV per atom; uncorrected energy = -46.81 eV/f.u.
1.0
-1.848 2.821 1.618
-3.832 -1.501 -1.761
-1.589 -5.917 8.502
Co Tb Pd
1 4 3
Cartesian
-2.972 0.169 0.634
-3.394 -1.403 2.893
-3.301 -5.907 6.529
-0.217 -0.810 1.163
-1.939 -2.367 6.237
-2.848 -4.222 4.107
-0.661 -2.460 3.535
-2.385 -4.029 8.626

***

Record 2
Er2ZrZn6 (GGA-PBE, optimized geometry); formation energy from the elements = -32.96 kJ per mole of atoms; space-group type = No. 191; N(E_F) = 0.574 states/eV per atom; uncorrected energy = -28.39 eV/f.u.
1.0
-1.087 -3.166 0.106
1.701 -0.834 -7.415
5.243 -1.620 5.335
Er Zr Zn
2 1 6
Cartesian
4.062 -1.358 1.085
1.795 -4.261 -3.059
5.243 -1.620 5.335
1.739 -2.389 -0.630
4.119 -3.230 -1.343
2.977 -2.671 3.635
5.842 -3.763 0.410
0.016 -1.857 -2.383
1.179 -2.115 1.806

***

Record 3
BaPb2C (GGA-PBE, optimized geometry); formation energy from the elements = 59.10 kJ per mole of atoms; space-group type = No. 122; N(E_F) = 0.245 states/eV per atom; uncorrected energy = -16.11 eV/f.u.
1.0
8.308 0.000 0.000
0.000 8.308 0.000
4.154 4.154 3.291
Pb C Ba
4 2 2
Cartesian
5.384 2.077 0.823
2.924 6.231 0.823
6.231 7.078 2.468
10.385 9.538 2.468
4.154 4.154 0.000
4.154 8.308 1.646
0.000 0.000 0.000
8.308 4.154 1.646

***

Record 4
MnRu2 (GGA-PBE, optimized geometry); formation energy from the elements = 44.50 kJ per mole of atoms; space-group type = No. 227; N(E_F) = 1.400 states/eV per atom; uncorrected energy = -26.34 eV/f.u.
1.0
0.000 3.590 3.590
3.590 0.000 3.590
3.590 3.590 0.000
Mn Ru
2 4
Cartesian
3.590 3.590 3.590
5.384 5.384 5.384
0.897 0.897 0.897
2.692 0.897 2.692
2.692 2.692 0.897
0.897 2.692 2.692

***

Record 5
HfAsS3 (GGA-PBE, optimized geometry); space-group type = No. 221; N(E_F) = 0.644 states/eV per atom; uncorrected energy = -27.81 eV/f.u.
1.0
-0.297 -4.721 -1.317
1.435 -1.345 4.499
-4.686 -0.113 1.461
As Hf S
1 1 3
Cartesian
-1.774 -3.090 2.322
0.000 0.000 0.000
0.718 -0.673 2.250
-2.343 -0.057 0.731
-0.148 -2.361 -0.658

***

Record 6
LiAcNpO4 (GGA-PBE, optimized geometry); space-group type = No. 74; N(E_F) = 1.135 states/eV per atom; uncorrected energy = -58.08 eV/f.u.
1.0
-6.465 -2.154 -0.597
-1.794 -6.387 3.283
-4.343 0.519 5.971
Li Ac Np O
2 2 2 8
Cartesian
-5.673 -5.633 3.379
-6.929 -2.389 5.277
0.000 0.000 0.000
-3.069 -2.934 4.627
-5.404 -0.817 2.687
-2.172 0.259 2.986
-9.282 -6.429 6.149
-6.039 -5.473 6.767
-6.563 -2.549 1.890
-3.320 -1.592 2.508
-3.953 -5.293 4.139
-7.354 -6.426 3.825
-5.249 -1.595 4.832
-8.650 -2.728 4.518

***

Record 7
MnTe2Pt (GGA-PBE, optimized geometry); space-group type = No. 65; N(E_F) = 0.564 states/eV per atom; uncorrected energy = -20.38 eV/f.u.
1.0
3.805 -0.061 0.000
-1.663 3.423 0.000
0.000 0.000 7.493
Mn Pt Te
1 1 2
Cartesian
1.071 1.681 1.873
1.071 1.681 5.620
0.000 0.000 7.433
0.000 0.000 3.807

***

Record 8
CeTh2Co (GGA-PBE, optimized geometry); formation energy from the elements = -16.12 kJ per mole of atoms; space-group type = No. 63; N(E_F) = 1.635 states/eV per atom; uncorrected energy = -28.55 eV/f.u.
1.0
3.620 0.001 0.000
-1.807 5.905 0.000
0.000 0.000 9.661
Ce Th Co
2 4 2
Cartesian
1.813 4.779 2.415
0.000 1.126 7.246
0.000 4.283 5.412
1.813 1.623 4.249
0.000 4.283 9.079
1.813 1.623 0.582
1.810 3.281 7.246
0.003 2.624 2.415

***

Record 9
Zr4Co3Cu (GGA-PBE, optimized geometry); formation energy from the elements = -28.10 kJ per mole of atoms; space-group type = No. 25; N(E_F) = 0.877 states/eV per atom; uncorrected energy = -61.94 eV/f.u.
1.0
3.312 0.000 0.000
0.000 4.139 0.000
0.000 0.000 9.807
Co Cu Zr
3 1 4
Cartesian
0.000 2.069 5.738
0.000 0.000 4.049
1.656 0.000 9.032
1.656 2.069 0.767
1.656 2.069 3.615
0.000 2.069 8.349
0.000 0.000 1.414
1.656 0.000 6.264

***

Record 10
NaPr2GaO5 (GGA-PBE, optimized geometry); space-group type = No. 127; N(E_F) = 0.000 states/eV per atom; uncorrected energy = -60.84 eV/f.u.
1.0
-2.588 0.659 5.170
0.069 -6.742 0.894
6.091 0.459 2.991
Na Pr Ga O
2 4 2 10
Cartesian
3.080 -3.142 1.942
0.000 0.000 0.000
-0.161 -4.162 3.725
0.678 -0.725 3.707
2.894 -4.899 5.348
3.733 -1.463 5.330
3.046 0.229 1.495
0.034 -3.371 0.447
1.786 -2.812 4.527
-1.294 0.329 2.585
3.260 -0.460 3.247
1.670 -5.510 3.095
0.230 -2.245 1.958
4.699 -3.725 4.384
1.902 -0.115 5.960
3.341 -3.380 7.097
0.312 -5.164 5.807
-1.128 -1.899 4.670

***

Record 11
La4TeN2 (GGA-PBE, optimized geometry); space-group type = No. 141; N(E_F) = 0.837 states/eV per atom; uncorrected energy = -46.61 eV/f.u.
1.0
7.674 -1.149 -0.163
-1.700 7.571 0.163
-2.868 -3.322 6.402
La Te N
8 2 4
Cartesian
5.573 -0.405 1.993
1.313 2.983 1.130
4.001 1.058 4.246
3.832 -2.355 4.192
2.181 -0.819 2.047
0.013 -1.797 5.272
0.182 1.616 5.332
4.705 3.398 1.069
-0.790 3.730 3.282
-4.567 4.249 6.565
2.009 -0.371 4.762
2.591 5.076 1.640
3.441 1.291 1.561
-1.828 0.204 4.841

***

Record 12
ZrMnNi (GGA-PBE, optimized geometry); formation energy from the elements = 61.37 kJ per mole of atoms; space-group type = No. 216; N(E_F) = 0.826 states/eV per atom; uncorrected energy = -21.59 eV/f.u.
1.0
-0.972 -3.906 -1.467
0.973 -3.465 2.324
-3.116 -2.274 1.864
Mn Ni Zr
1 1 1
Cartesian
0.000 0.000 0.000
-1.558 -4.822 1.361
-2.336 -7.233 2.041